1.
Computed, not measured: a geometry-optimized La2Zn structure at the PBE-GGA level of DFT.

```
La2Zn
1.0
7.4198 0.0000 0.0000
0.0000 7.4198 0.0000
0.0000 0.0000 7.4198
La Zn
8 4
Cartesian
1.1440 1.1440 1.1440 La
1.1440 2.5659 4.8539 La
2.5659 4.8539 1.1440 La
2.5659 6.2758 4.8539 La
4.8539 1.1440 2.5659 La
4.8539 2.5659 6.2758 La
6.2758 4.8539 2.5659 La
6.2758 6.2758 6.2758 La
0.0000 0.0000 3.7099 Zn
0.0000 3.7099 0.0000 Zn
3.7099 0.0000 0.0000 Zn
3.7099 3.7099 3.7099 Zn
```

electronic total energy: -3.699 eV/atom

---

2.
Computed, not measured: a geometry-optimized LaZn structure at the PBE-GGA level of DFT.

```
LaZn
1.0
5.4630 0.0000 0.0000
-2.7315 4.7311 0.0000
0.0000 0.0000 8.2885
La Zn
4 4
Cartesian
0.0000 0.0000 2.0721 La
0.0000 0.0000 6.2164 La
0.0000 3.1541 2.0721 La
2.7315 1.5770 6.2164 La
0.0000 3.1541 5.0102 Zn
0.0000 3.1541 7.4225 Zn
2.7315 1.5770 0.8660 Zn
2.7315 1.5770 3.2783 Zn
```

electronic total energy: -3.056 eV/atom

---

3.
Computed, not measured: a geometry-optimized La3Zn structure at the PBE-GGA level of DFT.

```
La3Zn
1.0
9.0174 0.0000 0.0000
0.0000 11.0916 0.0000
0.0000 0.0000 5.0173
La Zn
12 4
Cartesian
0.0000 1.2613 1.2543 La
0.0000 9.8303 3.7629 La
1.7573 4.2943 1.2543 La
1.7573 6.7973 3.7629 La
2.7514 1.2515 3.7629 La
2.7514 9.8400 1.2543 La
4.5087 4.2845 3.7629 La
4.5087 6.8071 1.2543 La
6.2660 1.2515 3.7629 La
6.2660 9.8400 1.2543 La
7.2602 4.2943 1.2543 La
7.2602 6.7973 3.7629 La
0.0000 3.4785 3.7629 Zn
0.0000 7.6131 1.2543 Zn
4.5087 2.0673 1.2543 Zn
4.5087 9.0243 3.7629 Zn
```

electronic total energy: -4.117 eV/atom

---

4.
Computed, not measured: a geometry-optimized La3Zn structure at the PBE-GGA level of DFT.

```
La3Zn
1.0
4.9671 0.0000 0.0000
0.0000 4.9671 0.0000
0.0000 0.0000 4.9671
La Zn
3 1
Cartesian
0.0000 0.0000 2.4835 La
0.0000 2.4835 0.0000 La
2.4835 0.0000 0.0000 La
2.4835 2.4835 2.4835 Zn
```

electronic total energy: -4.075 eV/atom

---

5.
Computed, not measured: a geometry-optimized LaZn structure at the PBE-GGA level of DFT.

```
LaZn
1.0
3.7640 0.0000 0.0000
0.0000 3.7640 0.0000
0.0000 0.0000 3.7640
La Zn
1 1
Cartesian
0.0000 0.0000 0.0000 La
1.8820 1.8820 1.8820 Zn
```

electronic total energy: -3.409 eV/atom

---

6.
Computed, not measured: a geometry-optimized La2Zn structure at the PBE-GGA level of DFT.

```
La2Zn
1.0
5.0344 0.0000 0.0000
-2.5172 4.3600 0.0000
0.0000 0.0000 3.8499
La Zn
2 1
Cartesian
0.0000 2.9066 0.6856 La
2.5172 1.4533 3.1644 La
0.0000 0.0000 1.9250 Zn
```

electronic total energy: -3.828 eV/atom

---

7.
Computed, not measured: a geometry-optimized LaZn structure at the PBE-GGA level of DFT.

```
LaZn
1.0
5.2555 0.0000 0.0000
-2.6277 4.5514 0.0000
0.0000 0.0000 6.1553
La Zn
2 2
Cartesian
0.0000 3.0342 1.5388 La
2.6277 1.5171 4.6165 La
0.0000 3.0342 4.6165 Zn
2.6277 1.5171 1.5388 Zn
```

electronic total energy: -2.773 eV/atom

---

8.
Computed, not measured: a geometry-optimized LaZrZn2 structure at the PBE-GGA level of DFT.

```
LaZrZn2
1.0
6.8334 0.0000 0.0000
0.0000 8.0233 0.0000
0.0000 0.0000 3.2006
La Zr Zn
2 2 4
Cartesian
0.0000 0.0000 0.0000 La
3.4167 4.0117 0.0000 La
0.0000 4.0117 0.0000 Zr
3.4167 0.0000 0.0000 Zr
1.7083 2.0058 1.6003 Zn
1.7083 6.0175 1.6003 Zn
5.1250 2.0058 1.6003 Zn
5.1250 6.0175 1.6003 Zn
```

energy relative to the lowest polymorph listed for this composition: 10.5 kJ/mol of atoms

---

The evaluated total magnetic moment for the records listed, in turn: 0.0; 0.0; 0.0; 0.0; 0.0; 0.0; 0.7; 0.0 μB/f.u..
The evaluated D(E_F) for the records listed, in turn: 27.1; 8.1; 21.6; 6.5; 2.7; 3.7; 7.5; 7.8 states/eV/cell.